No. 1
A plane-wave DFT calculation with PBE was carried out for an optimized crystal structure of NaSc2B.

Crystal system: trigonal
Density (g cm⁻³): 2.1
Formation energy from the elements (eV/atom): 1.035
N(E_F) (states/eV/f.u.): 5.005

Unit cell a=10.9081 b=10.9081 c=10.9081 alpha=17.09 beta=17.09 gamma=17.09
Last column: nearest neighbours and their distance in Å.
Positions (direct):
1 Na 0.0000 0.0000 0.0000  6 Na 3.24, 6 Sc 3.57
2 Sc 0.4276 0.4276 0.4276  1 B 2.33
3 Sc 0.5724 0.5724 0.5724  1 B 2.33
4 B 0.5000 0.5000 0.5000  2 Sc 2.33

No. 2
A plane-wave DFT calculation with PBE was carried out for an optimized crystal structure of H2S2Cl5.

Crystal system: triclinic
Density (g cm⁻³): 1.3
Final energy (eV/cell): -52.6

Unit cell a=8.4402 b=9.0068 c=9.0450 alpha=95.28 beta=103.54 gamma=103.38
Last column: nearest neighbours and their distance in Å.
Positions (direct):
1 H 0.0000 0.0000 0.0000  1 Cl 1.31
2 H 0.0963 0.5523 0.0749  1 Cl 1.32
3 H 0.5003 0.7553 0.2416  1 Cl 1.31
4 H 0.5995 0.8367 0.7931  1 Cl 1.33
5 S 0.1128 0.7262 0.6279  1 S 2.00, 1 Cl 2.05
6 S 0.1499 0.8190 0.4429  1 S 2.00, 1 Cl 2.07
7 S 0.6045 0.3791 0.9623  1 S 1.99, 1 Cl 2.05
8 S 0.6409 0.1976 0.0628  1 S 1.99, 1 Cl 2.07
9 Cl 0.0034 0.4796 0.9372  1 H 1.32
10 Cl 0.1385 0.9615 0.0625  1 H 1.31
11 Cl 0.2666 0.6308 0.2949  2 H 2.11-2.21
12 Cl 0.3095 0.0383 0.5169  1 S 2.07
13 Cl 0.3617 0.3793 0.9629  1 S 2.05
14 Cl 0.5057 0.6990 0.7185  1 H 1.33
15 Cl 0.6385 0.8182 0.2036  1 H 1.31
16 Cl 0.7678 0.0541 0.8755  2 H 2.09-2.20
17 Cl 0.7872 0.2783 0.2866  1 S 2.07
18 Cl 0.8678 0.7253 0.6202  1 S 2.05

No. 3
A plane-wave DFT calculation with PBE was carried out for an optimized crystal structure of MnCrCo3.

Crystal system: cubic
Density (g cm⁻³): 6.5
Formation energy from the elements (eV/atom): 1.071
N(E_F) (states/eV/f.u.): 5.718
E above lowest polymorph (meV/atom): 771.5

Unit cell a=4.1592 b=4.1592 c=4.1592 alpha=90.00 beta=90.00 gamma=90.00
Last column: nearest neighbours and their distance in Å.
Positions (direct):
1 Mn 0.0000 0.0000 0.0000  12 Co 2.94
2 Cr 0.5000 0.5000 0.5000  6 Co 2.08
3 Co 0.0000 0.5000 0.5000  2 Cr 2.08
4 Co 0.5000 0.0000 0.5000  2 Cr 2.08
5 Co 0.5000 0.5000 0.0000  2 Cr 2.08

No. 4
A plane-wave DFT calculation with PBE was carried out for an optimized crystal structure of KTb4PmS8.

Crystal system: trigonal
Density (g cm⁻³): 4.4
N(E_F) (states/eV/f.u.): 0.000
Formation energy from raw total energies (eV per formula unit): -27.02

Unit cell a=8.3225 b=8.3225 c=8.3225 alpha=59.43 beta=59.43 gamma=59.43
Last column: nearest neighbours and their distance in Å.
Positions (direct):
1 K 0.0000 0.0000 0.0000  4 S 2.87
2 Tb 0.1142 0.6315 0.6315  6 S 2.68-2.90
3 Tb 0.2525 0.2525 0.2525  4 S 2.67-2.70
4 Tb 0.6315 0.1142 0.6315  6 S 2.68-2.90
5 Tb 0.6315 0.6315 0.1142  6 S 2.68-2.90
6 Pm 0.6315 0.6315 0.6315  6 S 2.74-2.94
7 S 0.3819 0.3819 0.8567  3 Tb 2.67-2.89, 1 Pm 2.94
8 S 0.3819 0.8567 0.3819  3 Tb 2.67-2.89, 1 Pm 2.94
9 S 0.3844 0.3844 0.3844  4 Tb 2.70-2.90
10 S 0.4253 0.8644 0.8644  2 Tb 2.68, 1 Pm 2.74, 1 K 2.87
11 S 0.8567 0.3819 0.3819  3 Tb 2.67-2.89, 1 Pm 2.94
12 S 0.8600 0.8600 0.8600  3 Tb 2.68, 1 K 2.87
13 S 0.8644 0.4253 0.8644  2 Tb 2.68, 1 Pm 2.74, 1 K 2.87
14 S 0.8644 0.8644 0.4253  2 Tb 2.68, 1 Pm 2.74, 1 K 2.87

No. 5
A plane-wave DFT calculation with PBE was carried out for an optimized crystal structure of BeMoPt.

Crystal system: triclinic
Density (g cm⁻³): 12.1
Formation energy from the elements (eV/atom): -0.231
N(E_F) (states/eV/f.u.): 2.035
E above lowest polymorph (meV/atom): 175.1

Unit cell a=4.4698 b=4.6667 c=4.6673 alpha=62.21 beta=75.04 gamma=75.01
Last column: nearest neighbours and their distance in Å.
Positions (direct):
1 Be 0.0000 0.0000 0.0000  2 Pt 2.27-2.36, 1 Be 2.47
2 Be 0.0920 0.6787 0.6812  2 Pt 2.27-2.36, 1 Be 2.47
3 Mo 0.0465 0.3169 0.3623  2 Mo 2.54-2.55, 6 Be 2.61-2.81
4 Mo 0.5461 0.5697 0.1097  2 Mo 2.54-2.55, 4 Pt 2.67-2.70, 2 Be 2.72
5 Pt 0.4671 0.2248 0.8117  2 Be 2.27-2.36
6 Pt 0.6258 0.8674 0.4543  2 Be 2.27-2.36

No. 6
A plane-wave DFT calculation with PBE was carried out for an optimized crystal structure of SmTm2Ru2.

Crystal system: orthorhombic
Density (g cm⁻³): 9.8
Formation energy from the elements (eV/atom): -0.293
N(E_F) (states/eV/f.u.): 2.849

Unit cell a=10.2900 b=10.2900 c=3.3765 alpha=90.00 beta=90.00 gamma=160.96
Last column: nearest neighbours and their distance in Å.
Positions (direct):
1 Sm 0.0000 0.0000 0.0000  8 Ru 3.05, 4 Sm 3.38-3.40, 2 Tm 3.39
2 Tm 0.1672 0.8328 0.0000  4 Ru 2.83
3 Tm 0.8328 0.1672 0.0000  4 Ru 2.83
4 Ru 0.4074 0.5926 0.5000  4 Tm 2.83, 4 Sm 3.05
5 Ru 0.5926 0.4074 0.5000  4 Tm 2.83, 4 Sm 3.05

No. 7
A plane-wave DFT calculation with PBE was carried out for an optimized crystal structure of Ta8Re2Mo.

Crystal system: monoclinic
Density (g cm⁻³): 16.8
Formation energy from the elements (eV/atom): -0.229
N(E_F) (states/eV/f.u.): 7.739

Unit cell a=7.1024 b=7.1024 c=7.1228 alpha=118.38 beta=118.38 gamma=37.66
Last column: nearest neighbours and their distance in Å.
Positions (direct):
1 Ta 0.0503 0.0503 0.2253  1 Re 2.74, 7 Ta 2.79-2.89
2 Ta 0.1368 0.1368 0.6876  3 Re 2.78-2.81, 2 Mo 2.82, 3 Ta 2.88-2.91
3 Ta 0.3195 0.3195 0.5816  1 Mo 2.76, 1 Re 2.78, 6 Ta 2.79-2.91
4 Ta 0.4053 0.4053 0.0464  3 Re 2.78, 1 Mo 2.82, 4 Ta 2.86-2.94
5 Ta 0.5947 0.5947 0.9536  3 Re 2.78, 1 Mo 2.82, 4 Ta 2.86-2.94
6 Ta 0.6805 0.6805 0.4184  1 Mo 2.76, 1 Re 2.78, 6 Ta 2.79-2.91
7 Ta 0.8632 0.8632 0.3124  3 Re 2.78-2.81, 2 Mo 2.82, 3 Ta 2.88-2.91
8 Ta 0.9497 0.9497 0.7747  1 Re 2.74, 7 Ta 2.79-2.89
9 Re 0.2258 0.2258 0.1344  8 Ta 2.74-2.81
10 Re 0.7742 0.7742 0.8656  8 Ta 2.74-2.81
11 Mo 0.5000 0.5000 0.5000  8 Ta 2.76-2.82

No. 8
A plane-wave DFT calculation with PBE was carried out for an optimized crystal structure of Zr2MnPb.

Crystal system: tetragonal
Density (g cm⁻³): 8.5
Formation energy from the elements (eV/atom): 0.075
N(E_F) (states/eV/f.u.): 2.901

Unit cell a=3.4016 b=3.4016 c=7.4638 alpha=90.00 beta=90.00 gamma=90.00
Last column: nearest neighbours and their distance in Å.
Positions (direct):
1 Zr 0.0000 0.0000 0.0000  8 Zr 3.16-3.40, 4 Pb 3.26, 1 Mn 3.52
2 Zr 0.5000 0.5000 0.2736  4 Mn 2.82, 4 Zr 3.16
3 Mn 0.0000 0.0000 0.4711  4 Zr 2.82, 4 Pb 2.97
4 Pb 0.5000 0.5000 0.7055  4 Mn 2.97, 5 Zr 3.22-3.26

No. 9
A plane-wave DFT calculation with PBE was carried out for an optimized crystal structure of NaLa2NiPb.

Crystal system: tetragonal
Density (g cm⁻³): 6.3
Formation energy from the elements (eV/atom): -0.186
N(E_F) (states/eV/f.u.): 3.213

Unit cell a=5.3719 b=5.3719 c=5.1753 alpha=90.00 beta=90.00 gamma=90.00
Last column: nearest neighbours and their distance in Å.
Positions (direct):
1 Na 0.0000 0.0000 0.0000  2 Ni 2.59
2 La 0.0000 0.5000 0.5000  2 Ni 2.69
3 La 0.5000 0.0000 0.5000  2 Ni 2.69
4 Ni 0.0000 0.0000 0.5000  2 Na 2.59, 4 La 2.69
5 Pb 0.5000 0.5000 0.0000  8 La 3.73, 4 Na 3.80

No. 10
A plane-wave DFT calculation with PBE was carried out for an optimized crystal structure of LaGa2CoBi.

Crystal system: tetragonal
Density (g cm⁻³): 7.9
Formation energy from the elements (eV/atom): -0.423
N(E_F) (states/eV/f.u.): 4.270

Unit cell a=4.7428 b=4.7428 c=5.1311 alpha=90.00 beta=90.00 gamma=90.00
Last column: nearest neighbours and their distance in Å.
Positions (direct):
1 La 0.0000 0.0000 0.0000  2 Co 2.57
2 Ga 0.0000 0.5000 0.5000  2 Co 2.37
3 Ga 0.5000 0.0000 0.5000  2 Co 2.37
4 Co 0.0000 0.0000 0.5000  4 Ga 2.37, 2 La 2.57
5 Bi 0.5000 0.5000 0.0000  4 La 3.35, 8 Ga 3.49